--- 1 ---
Dy2Y3Th | GGA-PBE | optimized geometry

Cell lengths 9.424, 12.436, 6.775 Å; angles 90.00, 90.00, 90.00 degrees
Space group Cmc2_1 (No. 36)
Asymmetric unit:
Dy 0.174 0.159 0.000 x8
Y 0.000 0.359 0.250 x4
Y 0.173 0.105 0.497 x8
Th 0.000 0.351 0.745 x4

Summary:
N(E_F) in states/eV per cell: 32.1

=====

--- 2 ---
Dy2Y3Th | GGA-PBE | optimized geometry

Cell lengths 11.277, 5.050, 14.275 Å; angles 90.00, 108.33, 90.00 degrees
Space group C2/m (No. 12)
Asymmetric unit:
Dy 0.002 0.000 0.372 x4
Dy 0.004 0.000 0.128 x4
Y 0.166 0.500 0.043 x4
Y 0.167 0.500 0.790 x4
Y 0.169 0.500 0.543 x4
Th 0.166 0.500 0.291 x4

Summary:
N(E_F) in states/eV per cell: 37.4

=====

The least stable of them is 1.

=====

--- 1 ---
DyTh2Zn | GGA-PBE | optimized geometry

Cell lengths 3.583, 3.583, 8.951 Å; angles 90.00, 90.00, 90.00 degrees
Space group P4/mmm (No. 123)
Asymmetric unit:
Dy 0.000 0.000 0.000 x1
Th 0.500 0.500 0.286 x2
Zn 0.000 0.000 0.500 x1

Summary:
N(E_F) in states/eV per cell: 5.2

=====

--- 2 ---
DyTh2Zn | GGA-PBE | optimized geometry

Cell lengths 7.648, 7.648, 7.648 Å; angles 90.00, 90.00, 90.00 degrees
Space group Fm-3m (No. 225)
Asymmetric unit:
Dy 0.000 0.000 0.000 x4
Th 0.250 0.250 0.250 x8
Zn 0.000 0.000 0.500 x4

Summary:
N(E_F) in states/eV per cell: 16.1

=====

The least stable of them is 2.

=====

--- 1 ---
DyThZn | GGA-PBE | optimized geometry

Cell lengths 5.0502, 5.0502, 3.6623 Å; angles 90.00, 90.00, 120.00 degrees
Space group P3m1 (No. 156)
Asymmetric unit:
Dy 0.0000 0.0000 0.0000 x1
Th 0.6667 0.3333 0.5336 x1
Zn 0.3333 0.6667 0.1303 x1

Summary:
N(E_F) in states/eV per cell: 2.0

=====

--- 2 ---
DyThZn | GGA-PBE | optimized geometry

Cell lengths 3.583, 3.583, 12.496 Å; angles 90.00, 90.00, 90.00 degrees
Space group I4mm (No. 107)
Asymmetric unit:
Dy 0.000 0.000 0.000 x2
Th 0.000 0.000 0.701 x2
Zn 0.000 0.000 0.360 x2

Summary:
N(E_F) in states/eV per cell: 5.9

=====

The least stable of them is 1.

=====

--- 1 ---
Dy2ThZn | GGA-PBE | optimized geometry

Cell lengths 3.562, 3.562, 8.545 Å; angles 90.00, 90.00, 90.00 degrees
Space group P4/mmm (No. 123)
Asymmetric unit:
Dy 0.000 0.000 0.211 x2
Th 0.500 0.500 0.500 x1
Zn 0.500 0.500 0.000 x1

Summary:
N(E_F) in states/eV per cell: 5.5

=====

--- 2 ---
Dy2ThZn | GGA-PBE | optimized geometry

Cell lengths 3.5805, 3.5805, 30.6473 Å; angles 90.00, 90.00, 120.00 degrees
Space group R-3m (No. 166, hexagonal axes)
Asymmetric unit:
Dy 0.0000 0.0000 0.2401 x6
Th 0.0000 0.0000 0.0000 x3
Zn 0.0000 0.0000 0.5000 x3

Summary:
N(E_F) in states/eV per cell: 14.5

=====

The least stable of them is 2.

=====

--- 1 ---
Dy2ThZr | GGA-PBE | optimized geometry

Cell lengths 4.810, 4.810, 5.022 Å; angles 90.00, 90.00, 90.00 degrees
Space group P4/mmm (No. 123)
Asymmetric unit:
Dy 0.000 0.500 0.000 x2
Th 0.000 0.000 0.500 x1
Zr 0.500 0.500 0.500 x1

Summary:
N(E_F) in states/eV per cell: 4.5

=====

--- 2 ---
Dy2ThZr | GGA-PBE | optimized geometry

Cell lengths 3.4835, 3.4835, 33.3580 Å; angles 90.00, 90.00, 120.00 degrees
Space group R3m (No. 160, hexagonal axes)
Asymmetric unit:
Dy 0.0000 0.0000 0.0000 x3
Dy 0.0000 0.0000 0.1589 x3
Th 0.0000 0.0000 0.5800 x3
Zr 0.0000 0.0000 0.7459 x3

Summary:
N(E_F) in states/eV per cell: 14.5

=====

The least stable of them is 1.

=====

--- 1 ---
Dy2ThZr | GGA-PBE | optimized geometry

Cell lengths 3.3960, 3.3960, 35.7116 Å; angles 90.00, 90.00, 120.00 degrees
Space group R-3m (No. 166, hexagonal axes)
Asymmetric unit:
Dy 0.0000 0.0000 0.0875 x6
Th 0.0000 0.0000 0.5000 x3
Zr 0.0000 0.0000 0.0000 x3

Summary:
N(E_F) in states/eV per cell: 14.1

=====

--- 2 ---
Dy2ThZr | GGA-PBE | optimized geometry

Cell lengths 4.063, 4.063, 7.088 Å; angles 90.00, 90.00, 90.00 degrees
Space group P4/mmm (No. 123)
Asymmetric unit:
Dy 0.000 0.000 0.230 x2
Th 0.500 0.500 0.500 x1
Zr 0.500 0.500 0.000 x1

Summary:
N(E_F) in states/eV per cell: 7.7

=====

The least stable of them is 1.